[1]
The following is a DFT calculation (meta-GGA SCAN) of a crystal of MgRu2 relaxed with PBEsol.

Cell: 10.0079 2.7590 6.4363 Å, 90.00 104.63 90.00°
Space group Cm (No. 8)
Unique sites:
Mg 0.0000 0.0000 0.0000 x2
Mg 0.1622 0.5000 0.3574 x2
Ru 0.1249 0.5000 0.7398 x2
Ru 0.2869 0.0000 0.0847 x2
Ru 0.3347 0.0000 0.6897 x2
Ru 0.4355 0.5000 0.4253 x2

Crystal system = monoclinic
Density = 8.75 g cm⁻³
Calculated formation energy = 97 meV/atom
Energy = -24.78 eV/atom

---

[2]
The following is a DFT calculation (meta-GGA SCAN) of a crystal of CaMgCu2 relaxed with PBEsol.

Cell: 3.2642 4.6872 9.5603 Å, 90.00 90.00 90.00°
Space group Imm2 (No. 44)
Unique sites:
Ca 0.0000 0.0000 0.0000 x2
Mg 0.0000 0.5000 0.2081 x2
Cu 0.0000 0.0000 0.4543 x2
Cu 0.0000 0.5000 0.7700 x2

Crystal system = orthorhombic
Density = 4.35 g cm⁻³
Calculated formation energy = 27 meV/atom
Energy = -11.23 eV/atom

---

[3]
The following is a DFT calculation (meta-GGA SCAN) of a crystal of Bi3Pd8 relaxed with PBEsol.

Cell: 7.8402 7.8402 42.7949 Å, 90.00 90.00 120.00°
Space group R3 (No. 146, hexagonal axes)
Unique sites:
Bi 0.0000 0.0000 0.0000 x3
Bi 0.0000 0.0000 0.1413 x3
Bi 0.0000 0.0000 0.3379 x3
Bi 0.0000 0.0000 0.4994 x3
Bi 0.0000 0.0000 0.6411 x3
Bi 0.0000 0.0000 0.8378 x3
Bi 0.0252 0.3418 0.9068 x9
Bi 0.0256 0.6828 0.4067 x9
Pd 0.0000 0.0000 0.0664 x3
Pd 0.0000 0.0000 0.2075 x3
Pd 0.0000 0.0000 0.2748 x3
Pd 0.0000 0.0000 0.4321 x3
Pd 0.0000 0.0000 0.5657 x3
Pd 0.0000 0.0000 0.7073 x3
Pd 0.0000 0.0000 0.7747 x3
Pd 0.0000 0.0000 0.9328 x3
Pd 0.9996 0.3005 0.1072 x9
Pd 0.0021 0.6361 0.1392 x9
Pd 0.0022 0.6959 0.6734 x9
Pd 0.0031 0.3070 0.1736 x9
Pd 0.0028 0.3667 0.6393 x9
Pd 0.0312 0.6851 0.5395 x9
Pd 0.0315 0.3457 0.0396 x9
Pd 0.0336 0.6676 0.2736 x9

Crystal system = trigonal
Density = 12.93 g cm⁻³
Calculated formation energy = -207 meV/atom
Energy = -45.47 eV/atom

---

[4]
The following is a DFT calculation (meta-GGA SCAN) of a crystal of Eu3Ge13Os4 relaxed with PBEsol.

Cell: 9.0455 9.0455 9.0455 Å, 90.00 90.00 90.00°
Space group Pm-3n (No. 223)
Unique sites:
Eu 0.0000 0.2500 0.5000 x6
Ge 0.0000 0.0000 0.0000 x2
Ge 0.0000 0.2942 0.1456 x24
Os 0.2500 0.2500 0.2500 x8

Crystal system = cubic
Density = 9.70 g cm⁻³
Calculated formation energy = -314 meV/atom
Energy = -35.15 eV/atom